# 1
A plane-wave DFT calculation with PBE-GGA was carried out for a geometry-optimized K2Ba10Rh3 structure.

Cell and atoms, written as extended XYZ:
```
30
Lattice="8.674 0.000 -2.823 -1.491 11.347 -4.581 0.340 0.225 15.783" Properties=species:S:1:pos:R:3 pbc="T T T"
K 4.370 8.504 -1.309
K 1.492 7.954 4.583
K 3.153 3.068 9.687
K 6.032 3.618 3.795
Ba 4.863 6.418 7.184
Ba 1.755 3.314 5.393
Ba 5.961 5.673 -4.473
Ba -0.033 11.016 7.600
Ba 4.215 2.005 -1.786
Ba 0.297 6.418 8.671
Ba 0.093 8.568 0.285
Ba 2.660 5.154 1.194
Ba 4.507 0.112 6.480
Ba 7.430 3.003 8.093
Ba 5.768 8.257 2.986
Ba 7.226 5.154 -0.292
Ba 1.222 5.673 -2.931
Ba 0.170 0.112 7.891
Ba -0.129 2.168 -0.395
Ba 3.023 0.556 2.253
Ba 3.308 9.567 10.164
Ba 4.500 11.016 6.125
Ba 7.652 9.404 8.773
Ba 7.557 0.556 0.778
Rh 1.660 0.356 5.101
Rh 7.536 6.105 8.418
Rh -0.013 5.467 -0.040
Rh 2.157 0.000 -0.702
Rh 5.863 11.215 3.277
Rh 6.517 0.000 -2.121
```



# 2
A plane-wave DFT calculation with PBE-GGA was carried out for a geometry-optimized KBaRh structure.

Results
Its polymorph energy (0 for the lowest one) is 0.352 eV/atom.

Cell and atoms, written as extended XYZ:
```
3
Lattice="-2.531 7.195 -3.157 -5.276 6.177 1.466 5.829 -5.380 2.286" Properties=species:S:1:pos:R:3 pbc="T T T"
Rh -5.086 8.711 -1.101
Ba -0.448 0.767 -0.097
K -2.273 3.894 -0.492
```



# 3
A plane-wave DFT calculation with PBE-GGA was carried out for a geometry-optimized KBa3Rh structure.

Results
Its polymorph energy (0 for the lowest one) is 0.000 eV/atom.

Cell and atoms, written as extended XYZ:
```
10
Lattice="7.503 0.006 2.350 3.382 6.690 2.365 0.322 0.264 11.979" Properties=species:S:1:pos:R:3 pbc="T T T"
Rh 9.233 5.709 9.929
Rh 1.974 1.251 6.766
K 7.239 4.448 3.195
K 3.968 2.512 13.500
Ba 8.726 3.817 7.567
Ba 4.938 1.450 5.928
Ba 6.556 0.840 9.956
Ba 6.269 5.510 10.767
Ba 2.481 3.144 9.128
Ba 4.651 6.120 6.739
```



| no. | ΔH_f (0 K) (meV/atom) |
| --- | --- |
| 1 | -122 |
| 2 | 229 |
| 3 | -102 |